1.
24
Lattice="8.3105 0.0000 0.0000 0.0000 4.4053 0.0000 0.0000 0.0000 16.6271" Properties=species:S:1:pos:R:3 comment="LaTlCdS3 | the Open Quantum Materials Database | PBE | relaxed" space_group="No. 62" polymorph_energy_mev_per_atom=49 pbc="T T T"
S 8.2550 3.3040 6.8840
S 7.2846 1.1013 0.8415
S 0.0555 1.1013 9.7432
S 6.6074 3.3040 13.1372
S 1.0259 3.3040 15.7856
S 4.0998 3.3040 1.4296
S 1.7030 1.1013 3.4900
S 4.2107 1.1013 15.1975
S 3.1294 1.1013 7.4721
S 5.1811 3.3040 9.1550
S 2.4522 3.3040 11.8035
S 5.8583 1.1013 4.8236
Tl 4.6878 1.1013 11.7970
Tl 0.5326 1.1013 13.1437
Tl 3.6226 3.3040 4.8301
Tl 7.7778 3.3040 3.4834
La 1.9817 1.1013 0.7108
La 2.1735 3.3040 9.0244
La 6.1369 1.1013 7.6027
La 6.3288 3.3040 15.9163
Cd 5.1942 1.1013 2.4017
Cd 7.2715 3.3040 10.7152
Cd 1.0389 1.1013 5.9119
Cd 3.1163 3.3040 14.2255

=====

2.
24
Lattice="14.1361 0.0000 0.0000 0.0000 4.2846 0.0000 0.0000 0.0000 11.5178" Properties=species:S:1:pos:R:3 comment="LaTlCdS3 | the Open Quantum Materials Database | PBE | relaxed" space_group="No. 62" polymorph_energy_mev_per_atom=35 pbc="T T T"
Cd 13.8217 3.2134 6.9066
Cd 6.7537 3.2134 10.3702
Cd 7.3824 1.0711 1.1476
Cd 0.3143 1.0711 4.6113
La 6.6523 1.0711 7.5619
La 7.4837 3.2134 3.9559
La 0.4157 3.2134 1.8030
La 13.7204 1.0711 9.7148
S 9.1405 1.0711 2.9662
S 4.9956 3.2134 8.5516
S 12.9908 3.2134 4.4070
S 12.0636 3.2134 8.7251
S 8.3945 3.2134 6.6438
S 2.0724 1.0711 2.7927
S 12.8096 1.0711 0.8849
S 8.2133 1.0711 10.1659
S 5.7416 1.0711 4.8740
S 1.1453 1.0711 7.1109
S 5.9228 3.2134 1.3519
S 1.3265 3.2134 10.6329
Tl 3.5901 1.0711 10.9263
Tl 3.4779 3.2134 5.1674
Tl 10.6581 1.0711 6.3505
Tl 10.5459 3.2134 0.5916

=====

3.
12
Lattice="7.3821 0.0000 0.0000 0.0000 4.3092 0.0000 -1.2930 0.0000 10.0639" Properties=species:S:1:pos:R:3 comment="LaTlCdS3 | the Open Quantum Materials Database | PBE | relaxed" space_group="No. 11" polymorph_energy_mev_per_atom=0 pbc="T T T"
S 3.0326 3.2319 6.4627
S 5.2418 3.2319 0.7447
S -0.6797 3.2319 6.4966
S 6.7687 1.0773 3.5673
S 0.8473 1.0773 9.3192
S 3.0565 1.0773 3.6013
Cd 2.1440 3.2319 8.8257
Cd 3.9451 1.0773 1.2382
La 4.9528 3.2319 4.2486
La 1.1363 1.0773 5.8153
Tl 5.2644 1.0773 8.2397
Tl 0.8246 3.2319 1.8242

=====

4.
12
Lattice="2.5654 5.3666 -4.3034 -3.0171 -6.6879 0.2632 -10.2461 4.6081 -0.3615" Properties=species:S:1:pos:R:3 comment="LaTlCdS3 | the Open Quantum Materials Database | PBE | relaxed" space_group="No. 63" polymorph_energy_mev_per_atom=25 pbc="T T T"
Tl -6.5546 5.7232 -3.4004
Tl -4.1432 -2.4364 -1.0014
S -6.6759 0.3327 -1.6239
S -10.6072 2.1008 -1.7626
S -0.0906 1.1860 -2.6392
S -10.3274 -2.4236 -0.3141
S -4.0219 2.9541 -2.7779
S -0.3704 5.7104 -4.0876
La -5.1231 2.3041 -0.1808
La 0.0000 0.0000 0.0000
Cd -2.5555 0.9920 -2.3002
Cd -8.1423 2.2948 -2.1016